# PBE-GGA Sr2HgRh, relaxed
# Energy, eV per atom: -2.793
# Formation energy from the elements, eV per atom: -0.04
# Fermi-level density of states, states/eV per cell: 17.9
data_Sr2HgRh
_cell_length_a 7.431
_cell_length_b 7.431
_cell_length_c 7.431
_cell_angle_alpha 90.00
_cell_angle_beta 90.00
_cell_angle_gamma 90.00
_symmetry_space_group_name_H-M 'F -4 3 m'
_symmetry_Int_Tables_number 216
_symmetry_space_group_name_Hall 'F -4 2 3'
loop_
_atom_site_label
_atom_site_fract_x
_atom_site_fract_y
_atom_site_fract_z
Sr1 0.000 0.000 0.000
Sr2 0.250 0.250 0.250
Hg1 0.000 0.000 0.500
Rh1 0.250 0.250 0.750